(1)
VASP calculation (PBE) on TaCo3H after structural relaxation.

abc: 5.2455 5.2455 4.2213
angles: 90.00 90.00 120.00
Atoms (fractional coordinates):
Ta (0.0000, 0.0000, 0.0000)
Ta (0.3333, 0.6667, 0.4922)
Co (0.3405, 0.1703, 0.4961)
Co (0.5117, 0.0233, 0.0012)
Co (0.5117, 0.4883, 0.0012)
Co (0.8297, 0.1703, 0.4961)
Co (0.8297, 0.6595, 0.4961)
Co (0.9767, 0.4883, 0.0012)
H (0.3333, 0.6667, 0.9827)
H (0.6667, 0.3333, 0.7192)

energy above the lowest structure with this stoichiometry: 34 meV/atom
VASP energy: -37.55 eV/f.u.


(2)
VASP calculation (PBE) on Ta2Co2H7 after structural relaxation.

abc: 4.2599 4.2599 4.1977
angles: 90.00 90.00 91.87
Atoms (fractional coordinates):
Ta (0.2392, 0.2392, 0.0000)
Ta (0.7608, 0.7608, 0.0000)
Co (0.2659, 0.7341, 0.5000)
Co (0.7341, 0.2659, 0.5000)
H (0.0000, 0.0000, 0.5000)
H (0.0000, 0.5000, 0.2894)
H (0.0000, 0.5000, 0.7106)
H (0.5000, 0.0000, 0.2894)
H (0.5000, 0.0000, 0.7106)
H (0.5000, 0.5000, 0.2870)
H (0.5000, 0.5000, 0.7130)

VASP energy: -61.49 eV/f.u.


(3)
VASP calculation (PBE) on TaCo3H after structural relaxation.

abc: 5.2353 4.4035 9.3430
angles: 90.00 107.69 90.00
Atoms (fractional coordinates):
Ta (0.1943, 0.0922, 0.1551)
Ta (0.1943, 0.4078, 0.6551)
Ta (0.8057, 0.5922, 0.3449)
Ta (0.8057, 0.9078, 0.8449)
Co (0.0742, 0.1062, 0.3951)
Co (0.0742, 0.3938, 0.8951)
Co (0.3076, 0.5948, 0.3559)
Co (0.3076, 0.9052, 0.8559)
Co (0.4197, 0.6028, 0.1051)
Co (0.4197, 0.8972, 0.6051)
Co (0.5803, 0.1028, 0.3949)
Co (0.5803, 0.3972, 0.8949)
Co (0.6924, 0.0948, 0.1441)
Co (0.6924, 0.4052, 0.6441)
Co (0.9258, 0.6062, 0.1049)
Co (0.9258, 0.8938, 0.6049)
H (0.3901, 0.2401, 0.9986)
H (0.3901, 0.2599, 0.4986)
H (0.6099, 0.7401, 0.5014)
H (0.6099, 0.7599, 0.0014)

energy above the lowest structure with this stoichiometry: 166 meV/atom
VASP energy: -36.89 eV/f.u.


(4)
VASP calculation (PBE) on TaCoTc2H after structural relaxation.

abc: 3.8553 3.8553 4.0357
angles: 90.00 90.00 90.00
Atoms (fractional coordinates):
Ta (0.0000, 0.0000, 0.0000)
Co (0.5000, 0.5000, 0.0000)
Tc (0.0000, 0.5000, 0.5000)
Tc (0.5000, 0.0000, 0.5000)
H (0.0000, 0.0000, 0.5000)

energy above the lowest structure with this stoichiometry: 69 meV/atom
VASP energy: -43.17 eV/f.u.


(5)
VASP calculation (PBE) on Ta2CoTcH after structural relaxation.

abc: 4.2171 4.2171 3.6070
angles: 90.00 90.00 90.00
Atoms (fractional coordinates):
Ta (0.0000, 0.5000, 0.0000)
Ta (0.5000, 0.0000, 0.0000)
Co (0.0000, 0.0000, 0.5000)
Tc (0.5000, 0.5000, 0.5000)
H (0.5000, 0.5000, 0.0000)

energy above the lowest structure with this stoichiometry: 146 meV/atom
VASP energy: -44.83 eV/f.u.


(6)
VASP calculation (PBE) on TaCoTc2H after structural relaxation.

abc: 3.9468 3.9468 3.8073
angles: 90.00 90.00 90.00
Atoms (fractional coordinates):
Ta (0.0000, 0.0000, 0.0000)
Co (0.5000, 0.5000, 0.0000)
Tc (0.0000, 0.5000, 0.5000)
Tc (0.5000, 0.0000, 0.5000)
H (0.5000, 0.5000, 0.5000)

energy above the lowest structure with this stoichiometry: 0 meV/atom
VASP energy: -43.51 eV/f.u.


(7)
VASP calculation (PBE) on Ta2CoTcH after structural relaxation.

abc: 4.3378 4.3378 3.3594
angles: 90.00 90.00 90.00
Atoms (fractional coordinates):
Ta (0.0000, 0.5000, 0.0000)
Ta (0.5000, 0.0000, 0.0000)
Co (0.0000, 0.0000, 0.5000)
Tc (0.5000, 0.5000, 0.5000)
H (0.0000, 0.0000, 0.0000)

energy above the lowest structure with this stoichiometry: 0 meV/atom
VASP energy: -45.56 eV/f.u.


(8)
VASP calculation (PBE) on ThTaCo2H8 after structural relaxation.

abc: 7.0400 7.0400 7.0400
angles: 34.61 34.61 34.61
Atoms (fractional coordinates):
Th (0.0000, 0.0000, 0.0000)
Ta (0.5000, 0.5000, 0.5000)
Co (0.2370, 0.2370, 0.2370)
Co (0.7630, 0.7630, 0.7630)
H (0.1293, 0.7921, 0.3792)
H (0.2079, 0.6208, 0.8707)
H (0.3184, 0.3184, 0.3184)
H (0.3792, 0.1293, 0.7921)
H (0.6208, 0.8707, 0.2079)
H (0.6816, 0.6816, 0.6816)
H (0.7921, 0.3792, 0.1293)
H (0.8707, 0.2079, 0.6208)

VASP energy: -61.92 eV/f.u.


(9)
VASP calculation (PBE) on TaTi2CoH after structural relaxation.

abc: 3.8348 3.8348 4.3327
angles: 90.00 90.00 90.00
Atoms (fractional coordinates):
Ta (0.0000, 0.0000, 0.0000)
Ti (0.0000, 0.5000, 0.5000)
Ti (0.5000, 0.0000, 0.5000)
Co (0.5000, 0.5000, 0.0000)
H (0.0000, 0.0000, 0.5000)

energy above the lowest structure with this stoichiometry: 66 meV/atom
VASP energy: -38.47 eV/f.u.


(10)
VASP calculation (PBE) on TaTi2CoH after structural relaxation.

abc: 4.3269 4.3269 3.3673
angles: 90.00 90.00 90.00
Atoms (fractional coordinates):
Ta (0.0000, 0.0000, 0.0000)
Ti (0.0000, 0.5000, 0.5000)
Ti (0.5000, 0.0000, 0.5000)
Co (0.5000, 0.5000, 0.0000)
H (0.5000, 0.5000, 0.5000)

energy above the lowest structure with this stoichiometry: 0 meV/atom
VASP energy: -38.80 eV/f.u.


(11)
VASP calculation (PBE) on TaTiCo2H after structural relaxation.

abc: 3.8109 3.8109 3.8399
angles: 90.00 90.00 90.00
Atoms (fractional coordinates):
Ta (0.0000, 0.0000, 0.0000)
Ti (0.5000, 0.5000, 0.0000)
Co (0.0000, 0.5000, 0.5000)
Co (0.5000, 0.0000, 0.5000)
H (0.5000, 0.5000, 0.5000)

VASP energy: -38.05 eV/f.u.


(12)
VASP calculation (PBE) on TaVCo2H after structural relaxation.

abc: 3.7062 3.7062 3.9217
angles: 90.00 90.00 90.00
Atoms (fractional coordinates):
Ta (0.0000, 0.0000, 0.0000)
V (0.5000, 0.5000, 0.0000)
Co (0.0000, 0.5000, 0.5000)
Co (0.5000, 0.0000, 0.5000)
H (0.0000, 0.0000, 0.5000)

energy above the lowest structure with this stoichiometry: 61 meV/atom
VASP energy: -38.86 eV/f.u.